# Pr2TiAl4Pt3

Crystalline Pr2TiAl4Pt3 at its relaxed geometry (PBE-GGA, Alexandria).

Cell: 4.2472 4.2472 10.9743 Å, 90.00 90.00 90.00°
Space group P-4m2 (No. 115)
Inequivalent atoms, fractional coordinates:
Pr 0.0000 0.5000 0.2479 [2 per cell]
Ti 0.0000 0.0000 0.5000 [1 per cell]
Al 0.0000 0.0000 0.0000 [1 per cell]
Al 0.0000 0.5000 0.6430 [2 per cell]
Al 0.5000 0.5000 0.0000 [1 per cell]
Pt 0.0000 0.5000 0.8724 [2 per cell]
Pt 0.5000 0.5000 0.5000 [1 per cell]

Summary:
size of the total moment	0.00	μB per cell

# Pr2TmAl3Pt4

Crystalline Pr2TmAl3Pt4 at its relaxed geometry (PBE-GGA, Alexandria).

Cell: 4.3794 4.3794 10.8405 Å, 90.00 90.00 90.00°
Space group P-4m2 (No. 115)
Inequivalent atoms, fractional coordinates:
Pr 0.0000 0.5000 0.2315 [2 per cell]
Tm 0.0000 0.0000 0.5000 [1 per cell]
Al 0.0000 0.5000 0.8822 [2 per cell]
Al 0.5000 0.5000 0.5000 [1 per cell]
Pt 0.0000 0.0000 0.0000 [1 per cell]
Pt 0.0000 0.5000 0.6511 [2 per cell]
Pt 0.5000 0.5000 0.0000 [1 per cell]

Summary:
size of the total moment	0.00	μB per cell

# Pr3AlZn2Pt9

Crystalline Pr3AlZn2Pt9 at its relaxed geometry (PBE-GGA, Alexandria).

Cell: 7.4460 7.4460 6.4970 Å, 90.00 90.00 120.00°
Space group P-3m1 (No. 164)
Inequivalent atoms, fractional coordinates:
Pr 0.0000 0.0000 0.0000 [1 per cell]
Pr 0.3333 0.6667 0.6703 [2 per cell]
Al 0.0000 0.0000 0.5000 [1 per cell]
Zn 0.3333 0.6667 0.1691 [2 per cell]
Pt 0.0000 0.5000 0.0000 [3 per cell]
Pt 0.1648 0.3296 0.3346 [6 per cell]

Summary:
size of the total moment	0.00	μB per cell

# PrAlZnPt3

Crystalline PrAlZnPt3 at its relaxed geometry (PBE-GGA, Alexandria).

Cell: 6.8969 12.0554 5.7440 Å, 90.00 90.00 90.00°
Space group Cmcm (No. 63)
Inequivalent atoms, fractional coordinates:
Pr 0.0000 0.2110 0.2500 [4 per cell]
Al 0.0000 0.1207 0.7500 [4 per cell]
Zn 0.0000 0.4654 0.2500 [4 per cell]
Pt 0.0000 0.3185 0.7500 [4 per cell]
Pt 0.2074 0.0000 0.0000 [8 per cell]

Summary:
size of the total moment	0.00	μB per cell

# Pr2AlZn4Pt3

Crystalline Pr2AlZn4Pt3 at its relaxed geometry (PBE-GGA, Alexandria).

Cell: 4.0337 4.0337 11.8811 Å, 90.00 90.00 90.00°
Space group P-4m2 (No. 115)
Inequivalent atoms, fractional coordinates:
Pr 0.0000 0.5000 0.2450 [2 per cell]
Al 0.0000 0.0000 0.5000 [1 per cell]
Zn 0.0000 0.0000 0.0000 [1 per cell]
Zn 0.0000 0.5000 0.6390 [2 per cell]
Zn 0.5000 0.5000 0.0000 [1 per cell]
Pt 0.0000 0.5000 0.8570 [2 per cell]
Pt 0.5000 0.5000 0.5000 [1 per cell]

Summary:
size of the total moment	0.00	μB per cell

# PrAlZn2Pt

Crystalline PrAlZn2Pt at its relaxed geometry (PBE-GGA, Alexandria).

Cell: 4.0403 4.3300 11.2352 Å, 90.00 90.00 90.00°
Space group Imm2 (No. 44)
Inequivalent atoms, fractional coordinates:
Pr 0.0000 0.0000 0.0000 [2 per cell]
Al 0.0000 0.5000 0.7503 [2 per cell]
Zn 0.0000 0.0000 0.6111 [2 per cell]
Zn 0.0000 0.5000 0.2530 [2 per cell]
Pt 0.0000 0.0000 0.3835 [2 per cell]

Summary:
size of the total moment	0.00	μB per cell

# Pr2ZrAl4Pt3

Crystalline Pr2ZrAl4Pt3 at its relaxed geometry (PBE-GGA, Alexandria).

Cell: 4.2702 4.2702 11.2184 Å, 90.00 90.00 90.00°
Space group P-4m2 (No. 115)
Inequivalent atoms, fractional coordinates:
Pr 0.0000 0.5000 0.2411 [2 per cell]
Zr 0.0000 0.0000 0.5000 [1 per cell]
Al 0.0000 0.0000 0.0000 [1 per cell]
Al 0.0000 0.5000 0.6553 [2 per cell]
Al 0.5000 0.5000 0.0000 [1 per cell]
Pt 0.0000 0.5000 0.8766 [2 per cell]
Pt 0.5000 0.5000 0.5000 [1 per cell]

Summary:
size of the total moment	0.00	μB per cell

# Pr2ZrAlPt6

Crystalline Pr2ZrAlPt6 at its relaxed geometry (PBE-GGA, Alexandria).

Cell: 5.7363 5.7363 24.1593 Å, 90.00 90.00 120.00°
Space group R-3m (No. 166, hexagonal axes)
Inequivalent atoms, fractional coordinates:
Pr 0.0000 0.0000 0.2057 [6 per cell]
Zr 0.0000 0.0000 0.0000 [3 per cell]
Al 0.0000 0.0000 0.5000 [3 per cell]
Pt 0.0046 0.5023 0.2454 [18 per cell]

Summary:
size of the total moment	0.00	μB per cell

# PrPuAl2

Crystalline PrPuAl2 at its relaxed geometry (PBE-GGA, Alexandria).

Cell: 4.8031 4.8031 4.2769 Å, 90.00 90.00 90.00°
Space group P4/mmm (No. 123)
Inequivalent atoms, fractional coordinates:
Pr 0.0000 0.0000 0.0000 [1 per cell]
Pu 0.5000 0.5000 0.0000 [1 per cell]
Al 0.0000 0.5000 0.5000 [2 per cell]

Summary:
relative energy among the computed polymorphs	34	meV/atom
size of the total moment	5.92	μB per cell

# Pr2PuAl

Crystalline Pr2PuAl at its relaxed geometry (PBE-GGA, Alexandria).

Cell: 4.9495 4.9495 4.6182 Å, 90.00 90.00 90.00°
Space group P4/mmm (No. 123)
Inequivalent atoms, fractional coordinates:
Pr 0.0000 0.5000 0.0000 [2 per cell]
Pu 0.0000 0.0000 0.5000 [1 per cell]
Al 0.5000 0.5000 0.5000 [1 per cell]

Summary:
relative energy among the computed polymorphs	0	meV/atom
size of the total moment	6.12	μB per cell

# Pr3PuAl8

Crystalline Pr3PuAl8 at its relaxed geometry (PBE-GGA, Alexandria).

Cell: 5.6701 5.6701 27.8163 Å, 90.00 90.00 120.00°
Space group R3m (No. 160, hexagonal axes)
Inequivalent atoms, fractional coordinates:
Pr 0.0000 0.0000 0.0000 [3 per cell]
Pr 0.0000 0.0000 0.1270 [3 per cell]
Pr 0.0000 0.0000 0.6221 [3 per cell]
Pu 0.0000 0.0000 0.5001 [3 per cell]
Al 0.0000 0.0000 0.3125 [3 per cell]
Al 0.0000 0.0000 0.8129 [3 per cell]
Al 0.0015 0.5007 0.0629 [9 per cell]
Al 0.0011 0.5005 0.5620 [9 per cell]

Summary:
size of the total moment	17.86	μB per cell

# PrPu3Al8

Crystalline PrPu3Al8 at its relaxed geometry (PBE-GGA, Alexandria).

Cell: 5.5781 5.5781 27.2048 Å, 90.00 90.00 120.00°
Space group R3m (No. 160, hexagonal axes)
Inequivalent atoms, fractional coordinates:
Pr 0.0000 0.0000 0.0000 [3 per cell]
Pu 0.0000 0.0000 0.3820 [3 per cell]
Pu 0.0000 0.0000 0.4988 [3 per cell]
Pu 0.0000 0.0000 0.8739 [3 per cell]
Al 0.0000 0.0000 0.1885 [3 per cell]
Al 0.0000 0.0000 0.6893 [3 per cell]
Al 0.0000 0.5000 0.9378 [9 per cell]
Al 0.0015 0.5007 0.4390 [9 per cell]

Summary:
relative energy among the computed polymorphs	0	meV/atom
size of the total moment	15.81	μB per cell

Number 1: total DFT energy (no corrections) -5.966 eV per atom, formation energy -0.91 eV per atom. Number 2: total DFT energy (no corrections) -6.019 eV per atom, formation energy -1.08 eV per atom. Number 3: total DFT energy (no corrections) -5.514 eV per atom, formation energy -0.51 eV per atom. Number 4: total DFT energy (no corrections) -5.371 eV per atom, formation energy -0.72 eV per atom. Number 5: total DFT energy (no corrections) -4.372 eV per atom, formation energy -0.72 eV per atom. Number 6: total DFT energy (no corrections) -4.074 eV per atom, formation energy -0.65 eV per atom. Number 7: total DFT energy (no corrections) -6.035 eV per atom, formation energy -0.91 eV per atom. Number 8: total DFT energy (no corrections) -6.637 eV per atom, formation energy -0.83 eV per atom. Number 9: total DFT energy (no corrections) -6.810 eV per atom, formation energy -0.16 eV per atom. Number 10: total DFT energy (no corrections) -6.959 eV per atom, formation energy -0.05 eV per atom. Number 11: total DFT energy (no corrections) -5.319 eV per atom, formation energy -0.43 eV per atom. Number 12: total DFT energy (no corrections) -6.841 eV per atom, formation energy -0.36 eV per atom.